1.
## Pr3TeSBr (PBE)

Data for a relaxed structure of Pr3TeSBr. Values from VASP.

Summary:
calculated volume = 180.72 Å³/f.u.
magnetization = 0.0 μB per formula unit
D(E_F) = 9.3 states/eV per cell
electronic total energy = -32.11 eV/f.u.

```
&SYSTEM
  ibrav = 0, nat = 12, ntyp = 4
/
ATOMIC_SPECIES
Pr 140.91 Pr.upf
Te 127.60 Te.upf
S 32.06 S.upf
Br 79.90 Br.upf
CELL_PARAMETERS angstrom
-2.2388 3.4132 0.3894
-1.7096 -0.1527 -8.4916
-7.5803 -5.5731 5.2671
ATOMIC_POSITIONS angstrom
Pr -5.8044 -2.2265 -3.0626
Pr -4.0064 1.8365 -6.7480
Pr -3.8401 1.5087 -2.9195
Pr -5.7244 -0.0862 0.2274
Pr -7.6887 -3.8214 0.0844
Pr -7.5225 -4.1491 3.9129
Te -9.0051 -1.9487 -2.3099
Te -2.5237 -0.3640 -0.5253
S -2.4945 0.1731 -5.0654
S -9.0343 -2.4858 2.2303
Br -5.4815 -2.5946 2.0212
Br -6.0474 0.2819 -4.8563
```

2.
## DyHo2Zn5 (PBE)

Data for a relaxed structure of DyHo2Zn5. Values from VASP.

Summary:
DFT formation energy = -0.32 eV per atom
calculated volume = 162.08 Å³/f.u.
magnetization = 0.0 μB per formula unit
D(E_F) = 2.8 states/eV per cell

```
&SYSTEM
  ibrav = 0, nat = 8, ntyp = 3
/
ATOMIC_SPECIES
Dy 162.50 Dy.upf
Ho 164.93 Ho.upf
Zn 65.41 Zn.upf
CELL_PARAMETERS angstrom
4.8038 0.0000 0.0000
0.0000 4.8038 0.0000
-2.4019 -2.4019 7.0238
ATOMIC_POSITIONS angstrom
Dy 0.0000 0.0000 0.0000
Ho 2.4019 2.4019 3.2829
Ho 0.0000 0.0000 3.7410
Zn 2.4019 2.4019 0.0000
Zn 2.4019 0.0000 5.4014
Zn 0.0000 2.4019 5.4014
Zn 0.0000 2.4019 1.6224
Zn 2.4019 0.0000 1.6224
```

3.
## YZn2Ru (PBE)

Data for a relaxed structure of YZn2Ru. Values from VASP.

Summary:
DFT formation energy = -0.17 eV per atom
calculated volume = 72.93 Å³/f.u.
magnetization = 0.0 μB per formula unit
D(E_F) = 2.1 states/eV per cell

```
&SYSTEM
  ibrav = 0, nat = 4, ntyp = 3
/
ATOMIC_SPECIES
Ru 101.07 Ru.upf
Y 88.91 Y.upf
Zn 65.41 Zn.upf
CELL_PARAMETERS angstrom
-0.4525 -0.1307 -3.3005
1.3686 -3.0393 -0.0673
-5.9162 -2.6844 0.9175
ATOMIC_POSITIONS angstrom
Ru -2.7161 -1.2324 0.4212
Y -3.7909 -3.5129 -1.0250
Zn -0.3294 -0.1495 0.0511
Zn -1.1219 -2.3019 -1.4389
```

- Look up the magnetization of the third one.
  0.0 μB per formula unit

- What is the calculated volume in the first record?
  180.72 Å³/f.u.